(1)
Ce2B2Os2C | PBE | relaxed

Results
The value obtained for the total magnetic moment is 1.50 μB per cell. The density is 10417 kg/m3. As for the formation energy: -383 meV per atom.

Cell and atoms, written as CIF:
```
data_Ce2B2Os2C
_symmetry_space_group_name_H-M 'C 1 2/m 1'
_symmetry_Int_Tables_number 12
_symmetry_space_group_name_Hall '-C 2y'
_cell_length_a 10.835
_cell_length_b 3.777
_cell_length_c 6.605
_cell_angle_alpha 90.00
_cell_angle_beta 125.01
_cell_angle_gamma 90.00
loop_
_atom_site_label
_atom_site_fract_x
_atom_site_fract_y
_atom_site_fract_z
_atom_site_occupancy
Ce1 0.066 0.000 0.329 1
B1 0.191 0.500 0.754 1
Os1 0.205 0.500 0.100 1
C1 0.000 0.500 0.000 1
```

(2)
Mn2FeRe | PBE | relaxed

Results
The value obtained for the total magnetic moment is 10.92 μB per cell. The density is 11800 kg/m3. As for the formation energy: 90 meV per atom.

Cell and atoms, written as CIF:
```
data_Mn2FeRe
_symmetry_space_group_name_H-M 'I m m m'
_symmetry_Int_Tables_number 71
_symmetry_space_group_name_Hall '-I 2 2'
_cell_length_a 2.989
_cell_length_b 4.105
_cell_length_c 8.072
_cell_angle_alpha 90.00
_cell_angle_beta 90.00
_cell_angle_gamma 90.00
loop_
_atom_site_label
_atom_site_fract_x
_atom_site_fract_y
_atom_site_fract_z
_atom_site_occupancy
Mn1 0.000 0.000 0.246 1
Fe1 0.000 0.500 0.500 1
Re1 0.000 0.500 0.000 1
```

(3)
NiAg2OsW | PBE | relaxed

Results
The value obtained for the total magnetic moment is 0.00 μB per cell. The density is 11937 kg/m3. As for the formation energy: 1762 meV per atom.

Cell and atoms, written as CIF:
```
data_NiAg2OsW
_symmetry_space_group_name_H-M 'P 4/m m m'
_symmetry_Int_Tables_number 123
_symmetry_space_group_name_Hall '-P 4 2'
_cell_length_a 4.511
_cell_length_b 4.511
_cell_length_c 4.432
_cell_angle_alpha 90.00
_cell_angle_beta 90.00
_cell_angle_gamma 90.00
loop_
_atom_site_label
_atom_site_fract_x
_atom_site_fract_y
_atom_site_fract_z
_atom_site_occupancy
Ni1 0.000 0.000 0.000 1
Ag1 0.000 0.500 0.000 1
Os1 0.500 0.500 0.500 1
W1 0.000 0.000 0.500 1
```

(4)
SrCdHg2 | PBE | relaxed

Results
The value obtained for the total magnetic moment is 0.00 μB per cell. The density is 7717 kg/m3. As for the formation energy: -201 meV per atom.

Cell and atoms, written as CIF:
```
data_SrCdHg2
_symmetry_space_group_name_H-M 'I -4 2 d'
_symmetry_Int_Tables_number 122
_symmetry_space_group_name_Hall 'I -4 2bw'
_cell_length_a 4.966
_cell_length_b 4.966
_cell_length_c 20.987
_cell_angle_alpha 90.00
_cell_angle_beta 90.00
_cell_angle_gamma 90.00
loop_
_atom_site_label
_atom_site_fract_x
_atom_site_fract_y
_atom_site_fract_z
_atom_site_occupancy
Sr1 0.000 0.000 0.000 1
Cd1 0.000 0.000 0.500 1
Hg1 0.186 0.250 0.625 1
```

(5)
CrHgSe2 | PBE | relaxed

Results
The value obtained for the total magnetic moment is 15.98 μB per cell. The density is 6216 kg/m3. Its raw formation energy is -187.4 meV/atom.

Cell and atoms, written as CIF:
```
data_CrHgSe2
_symmetry_space_group_name_H-M 'I -4 2 d'
_symmetry_Int_Tables_number 122
_symmetry_space_group_name_Hall 'I -4 2bw'
_cell_length_a 6.054
_cell_length_b 6.054
_cell_length_c 11.968
_cell_angle_alpha 90.00
_cell_angle_beta 90.00
_cell_angle_gamma 90.00
loop_
_atom_site_label
_atom_site_fract_x
_atom_site_fract_y
_atom_site_fract_z
_atom_site_occupancy
Cr1 0.000 0.000 0.000 1
Hg1 0.000 0.000 0.500 1
Se1 0.213 0.250 0.125 1
```

(6)
Sr3Te | PBE | relaxed

Results
The value obtained for the total magnetic moment is 0.03 μB per cell. The density is 3220 kg/m3. Its raw formation energy is -662.5 meV/atom. The value obtained for the distance to the lowest polymorph of the same formula is 0.094 eV/atom.

Cell and atoms, written as CIF:
```
data_Sr3Te
_symmetry_space_group_name_H-M 'P m m 2'
_symmetry_Int_Tables_number 25
_symmetry_space_group_name_Hall 'P 2 -2'
_cell_length_a 4.258
_cell_length_b 4.315
_cell_length_c 10.959
_cell_angle_alpha 90.00
_cell_angle_beta 90.00
_cell_angle_gamma 90.00
loop_
_atom_site_label
_atom_site_fract_x
_atom_site_fract_y
_atom_site_fract_z
_atom_site_occupancy
Sr1 0.000 0.000 0.000 1
Sr2 0.000 0.500 0.368 1
Sr3 0.500 0.500 0.714 1
Te1 0.500 0.000 0.242 1
```

(7)
TmBeCu | PBE | relaxed

Results
The value obtained for the total magnetic moment is 0.00 μB per cell. The density is 8270 kg/m3. As for the formation energy: -153 meV per atom. The value obtained for the distance to the lowest polymorph of the same formula is 0.000 eV/atom.

Cell and atoms, written as CIF:
```
data_TmBeCu
_symmetry_space_group_name_H-M 'C 1 2/m 1'
_symmetry_Int_Tables_number 12
_symmetry_space_group_name_Hall '-C 2y'
_cell_length_a 9.631
_cell_length_b 4.150
_cell_length_c 6.730
_cell_angle_alpha 90.00
_cell_angle_beta 133.85
_cell_angle_gamma 90.00
loop_
_atom_site_label
_atom_site_fract_x
_atom_site_fract_y
_atom_site_fract_z
_atom_site_occupancy
Tm1 0.052 0.000 0.307 1
Be1 0.156 0.500 0.098 1
Cu1 0.180 0.500 0.753 1
```

(8)
NbCdAs2 | PBE | relaxed

Results
The value obtained for the total magnetic moment is 3.54 μB per cell. The density is 5370 kg/m3. As for the formation energy: 63 meV per atom.

Cell and atoms, written as CIF:
```
data_NbCdAs2
_symmetry_space_group_name_H-M 'I -4 2 d'
_symmetry_Int_Tables_number 122
_symmetry_space_group_name_Hall 'I -4 2bw'
_cell_length_a 6.143
_cell_length_b 6.143
_cell_length_c 11.641
_cell_angle_alpha 90.00
_cell_angle_beta 90.00
_cell_angle_gamma 90.00
loop_
_atom_site_label
_atom_site_fract_x
_atom_site_fract_y
_atom_site_fract_z
_atom_site_occupancy
Nb1 0.000 0.000 0.000 1
Cd1 0.000 0.000 0.500 1
As1 0.223 0.250 0.125 1
```

(9)
YTa2Sb | PBE | relaxed

Results
The value obtained for the total magnetic moment is 0.00 μB per cell. The density is 10666 kg/m3. Its raw formation energy is -2.0 meV/atom.

Cell and atoms, written as CIF:
```
data_YTa2Sb
_symmetry_space_group_name_H-M 'P 1 m 1'
_symmetry_Int_Tables_number 6
_symmetry_space_group_name_Hall 'P -2y'
_cell_length_a 3.539
_cell_length_b 4.557
_cell_length_c 5.794
_cell_angle_alpha 90.00
_cell_angle_beta 107.44
_cell_angle_gamma 90.00
loop_
_atom_site_label
_atom_site_fract_x
_atom_site_fract_y
_atom_site_fract_z
_atom_site_occupancy
Y1 0.000 0.000 0.000 1
Ta1 0.282 0.500 0.574 1
Ta2 0.734 0.000 0.483 1
Sb1 0.575 0.500 0.154 1
```

(10)
SmDyErTm | PBE | relaxed

Results
The value obtained for the total magnetic moment is 0.00 μB per cell. The density is 8513 kg/m3. As for the formation energy: 130 meV per atom. The value obtained for the distance to the lowest polymorph of the same formula is 0.004 eV/atom.

Cell and atoms, written as CIF:
```
data_SmDyErTm
_symmetry_space_group_name_H-M 'I m m 2'
_symmetry_Int_Tables_number 44
_symmetry_space_group_name_Hall 'I 2 -2'
_cell_length_a 3.667
_cell_length_b 5.860
_cell_length_c 11.783
_cell_angle_alpha 90.00
_cell_angle_beta 90.00
_cell_angle_gamma 90.00
loop_
_atom_site_label
_atom_site_fract_x
_atom_site_fract_y
_atom_site_fract_z
_atom_site_occupancy
Sm1 0.000 0.000 0.000 1
Dy1 0.000 0.000 0.504 1
Er1 0.000 0.500 0.757 1
Tm1 0.000 0.500 0.248 1
```

(11)
K4Ac3NpSe8 | PBE | relaxed

Results
The value obtained for the total magnetic moment is 12.00 μB per cell. The density is 5194 kg/m3. Its raw formation energy is -1661.2 meV/atom.

Cell and atoms, written as CIF:
```
data_K4Ac3NpSe8
_symmetry_space_group_name_H-M 'R -3 m'
_symmetry_Int_Tables_number 166
_symmetry_space_group_name_Hall '-R 3 2"'
_cell_length_a 9.0413
_cell_length_b 9.0413
_cell_length_c 23.1138
_cell_angle_alpha 90.00
_cell_angle_beta 90.00
_cell_angle_gamma 120.00
loop_
_atom_site_label
_atom_site_fract_x
_atom_site_fract_y
_atom_site_fract_z
_atom_site_occupancy
K1 0.0000 0.0000 0.0000 1
K2 0.0000 0.5000 0.0000 1
Ac1 0.0000 0.5000 0.5000 1
Np1 0.0000 0.0000 0.5000 1
Se1 0.0000 0.0000 0.2403 1
Se2 0.0126 0.5063 0.2375 1
```

(12)
Er2PuTl3S6 | PBE | relaxed

Results
The value obtained for the total magnetic moment is 10.00 μB per cell. The density is 7251 kg/m3. Its raw formation energy is -1378.6 meV/atom.

Cell and atoms, written as CIF:
```
data_Er2PuTl3S6
_symmetry_space_group_name_H-M 'C 1 2/m 1'
_symmetry_Int_Tables_number 12
_symmetry_space_group_name_Hall '-C 2y'
_cell_length_a 6.989
_cell_length_b 12.103
_cell_length_c 7.847
_cell_angle_alpha 90.00
_cell_angle_beta 107.26
_cell_angle_gamma 90.00
loop_
_atom_site_label
_atom_site_fract_x
_atom_site_fract_y
_atom_site_fract_z
_atom_site_occupancy
Er1 0.000 0.167 0.000 1
Pu1 0.000 0.500 0.000 1
Tl1 0.000 0.000 0.500 1
Tl2 0.000 0.334 0.500 1
S1 0.227 0.000 0.196 1
S2 0.235 0.331 0.197 1
```

(13)
CaZrRh4 | PBE | relaxed

Results
The value obtained for the total magnetic moment is 0.00 μB per cell. The density is 8703 kg/m3. As for the formation energy: -514 meV per atom.

Cell and atoms, written as CIF:
```
data_CaZrRh4
_symmetry_space_group_name_H-M 'F -4 3 m'
_symmetry_Int_Tables_number 216
_symmetry_space_group_name_Hall 'F -4 2 3'
_cell_length_a 7.455
_cell_length_b 7.455
_cell_length_c 7.455
_cell_angle_alpha 90.00
_cell_angle_beta 90.00
_cell_angle_gamma 90.00
loop_
_atom_site_label
_atom_site_fract_x
_atom_site_fract_y
_atom_site_fract_z
_atom_site_occupancy
Ca1 0.000 0.000 0.000 1
Zr1 0.250 0.250 0.250 1
Rh1 0.125 0.125 0.625 1
```